1.
A plane-wave DFT calculation with PBE was carried out for crystalline Sm6DyHoSc2 at its relaxed geometry.

Geometry as CIF:
```
data_Sm6DyHoSc2
_space_group_name_H-M_alt 'C 1 2/c 1'
_space_group_IT_number 15
_cell_length_a 9.0439
_cell_length_b 14.9350
_cell_length_c 9.4745
_cell_angle_alpha 90.00
_cell_angle_beta 97.79
_cell_angle_gamma 90.00
loop_
_space_group_symop_operation_xyz
'x,y,z'
'-x,-y,-z'
'-x,y,-z+1/2'
'x,-y,z+1/2'
'x+1/2,y+1/2,z'
'-x+1/2,-y+1/2,-z'
'-x+1/2,y+1/2,-z+1/2'
'x+1/2,-y+1/2,z+1/2'
loop_
_atom_site_label
_atom_site_type_symbol
_atom_site_fract_x
_atom_site_fract_y
_atom_site_fract_z
Sm1 Sm 0.0634 0.1755 0.4472
Sm2 Sm 0.0977 0.3960 0.6181
Sm3 Sm 0.2139 0.2267 0.8177
Dy1 Dy 0.0000 0.0287 0.7500
Ho1 Ho 0.0000 0.4082 0.2500
Sc1 Sc 0.2483 0.0500 0.0482
```

Calculated values
V = 1267.91 Å³ per cell
formation energy = 126 meV/atom
crystal system = monoclinic

***

2.
A plane-wave DFT calculation with PBE was carried out for crystalline SmDy5Ho2Sc at its relaxed geometry.

Geometry as CIF:
```
data_SmDy5Ho2Sc
_space_group_name_H-M_alt 'C m c 21'
_space_group_IT_number 36
_cell_length_a 5.5460
_cell_length_b 19.7146
_cell_length_c 10.3655
_cell_angle_alpha 90.00
_cell_angle_beta 90.00
_cell_angle_gamma 90.00
loop_
_space_group_symop_operation_xyz
'x,y,z'
'-x,-y,z+1/2'
'-x,y,z'
'x,-y,z+1/2'
'x+1/2,y+1/2,z'
'-x+1/2,-y+1/2,z+1/2'
'-x+1/2,y+1/2,z'
'x+1/2,-y+1/2,z+1/2'
loop_
_atom_site_label
_atom_site_type_symbol
_atom_site_fract_x
_atom_site_fract_y
_atom_site_fract_z
Sm1 Sm 0.0000 0.0881 0.0000
Dy1 Dy 0.0000 0.0187 0.2847
Dy2 Dy 0.0000 0.1230 0.5658
Dy3 Dy 0.0000 0.2012 0.2507
Dy4 Dy 0.0000 0.2232 0.8662
Dy5 Dy 0.0000 0.4817 0.5639
Ho1 Ho 0.0000 0.3862 0.2814
Ho2 Ho 0.0000 0.3884 0.8590
Sc1 Sc 0.0000 0.3042 0.5599
```

Calculated values
V = 1133.34 Å³ per cell
formation energy = 170 meV/atom
crystal system = orthorhombic

***

3.
A plane-wave DFT calculation with PBE was carried out for crystalline SmDy2Ho5Sc at its relaxed geometry.

Geometry as CIF:
```
data_SmDy2Ho5Sc
_space_group_name_H-M_alt 'C m c 21'
_space_group_IT_number 36
_cell_length_a 5.5384
_cell_length_b 19.6591
_cell_length_c 10.3542
_cell_angle_alpha 90.00
_cell_angle_beta 90.00
_cell_angle_gamma 90.00
loop_
_space_group_symop_operation_xyz
'x,y,z'
'-x,-y,z+1/2'
'-x,y,z'
'x,-y,z+1/2'
'x+1/2,y+1/2,z'
'-x+1/2,-y+1/2,z+1/2'
'-x+1/2,y+1/2,z'
'x+1/2,-y+1/2,z+1/2'
loop_
_atom_site_label
_atom_site_type_symbol
_atom_site_fract_x
_atom_site_fract_y
_atom_site_fract_z
Sm1 Sm 0.0000 0.0877 0.0000
Dy1 Dy 0.0000 0.3863 0.2809
Dy2 Dy 0.0000 0.3885 0.8596
Ho1 Ho 0.0000 0.0190 0.2843
Ho2 Ho 0.0000 0.1229 0.5657
Ho3 Ho 0.0000 0.2014 0.2506
Ho4 Ho 0.0000 0.2232 0.8664
Ho5 Ho 0.0000 0.4816 0.5646
Sc1 Sc 0.0000 0.3039 0.5597
```

Calculated values
V = 1127.37 Å³ per cell
formation energy = 169 meV/atom
crystal system = orthorhombic

***

4.
A plane-wave DFT calculation with PBE was carried out for crystalline Sm2DyHoSc at its relaxed geometry.

Geometry as CIF:
```
data_Sm2DyHoSc
_space_group_name_H-M_alt 'C m c m'
_space_group_IT_number 63
_space_group_name_Hall '-C 2c 2'
_cell_length_a 8.1941
_cell_length_b 11.2996
_cell_length_c 7.1216
_cell_angle_alpha 90.00
_cell_angle_beta 90.00
_cell_angle_gamma 90.00
loop_
_atom_site_label
_atom_site_type_symbol
_atom_site_fract_x
_atom_site_fract_y
_atom_site_fract_z
Sm1 Sm 0.1986 0.0000 0.0000
Dy1 Dy 0.0000 0.2315 0.2500
Ho1 Ho 0.0000 0.2339 0.7500
Sc1 Sc 0.0000 0.4979 0.2500
```

Calculated values
V = 659.39 Å³ per cell
formation energy = 369 meV/atom
crystal system = orthorhombic

***

5.
A plane-wave DFT calculation with PBE was carried out for crystalline SmDy2HoSc2 at its relaxed geometry.

Geometry as CIF:
```
data_SmDy2HoSc2
_space_group_name_H-M_alt 'P n n m'
_space_group_IT_number 58
_cell_length_a 6.2919
_cell_length_b 17.3548
_cell_length_c 3.3349
_cell_angle_alpha 90.00
_cell_angle_beta 90.00
_cell_angle_gamma 90.00
loop_
_space_group_symop_operation_xyz
'x,y,z'
'-x,-y,-z'
'-x,-y,z'
'x,y,-z'
'x+1/2,-y+1/2,-z+1/2'
'-x+1/2,y+1/2,z+1/2'
'-x+1/2,y+1/2,-z+1/2'
'x+1/2,-y+1/2,z+1/2'
loop_
_atom_site_label
_atom_site_type_symbol
_atom_site_fract_x
_atom_site_fract_y
_atom_site_fract_z
Sm1 Sm 0.0000 0.0000 0.0000
Dy1 Dy 0.2255 0.3095 0.0000
Ho1 Ho 0.0000 0.5000 0.0000
Sc1 Sc 0.2248 0.1463 0.5000
```

Calculated values
V = 364.16 Å³ per cell
formation energy = 281 meV/atom
crystal system = orthorhombic

***

6.
A plane-wave DFT calculation with PBE was carried out for crystalline SmDy3Ho6Sc2 at its relaxed geometry.

Geometry as CIF:
```
data_SmDy3Ho6Sc2
_space_group_name_H-M_alt 'C 1 2/m 1'
_space_group_IT_number 12
_cell_length_a 6.0543
_cell_length_b 10.4771
_cell_length_c 11.5803
_cell_angle_alpha 90.00
_cell_angle_beta 99.98
_cell_angle_gamma 90.00
loop_
_space_group_symop_operation_xyz
'x,y,z'
'-x,-y,-z'
'-x,y,-z'
'x,-y,z'
'x+1/2,y+1/2,z'
'-x+1/2,-y+1/2,-z'
'-x+1/2,y+1/2,-z'
'x+1/2,-y+1/2,z'
loop_
_atom_site_label
_atom_site_type_symbol
_atom_site_fract_x
_atom_site_fract_y
_atom_site_fract_z
Sm1 Sm 0.0000 0.0000 0.0000
Dy1 Dy 0.0000 0.1671 0.5000
Dy2 Dy 0.0000 0.5000 0.5000
Ho1 Ho 0.2465 0.5000 0.2459
Ho2 Ho 0.2494 0.3321 0.7540
Sc1 Sc 0.0000 0.3333 0.0000
```

Calculated values
V = 723.44 Å³ per cell
formation energy = 36 meV/atom
crystal system = monoclinic

***

7.
A plane-wave DFT calculation with PBE was carried out for crystalline SmDy5HoSc2 at its relaxed geometry.

Geometry as CIF:
```
data_SmDy5HoSc2
_space_group_name_H-M_alt 'C m c 21'
_space_group_IT_number 36
_cell_length_a 5.5874
_cell_length_b 21.4202
_cell_length_c 9.3238
_cell_angle_alpha 90.00
_cell_angle_beta 90.00
_cell_angle_gamma 90.00
loop_
_space_group_symop_operation_xyz
'x,y,z'
'-x,-y,z+1/2'
'-x,y,z'
'x,-y,z+1/2'
'x+1/2,y+1/2,z'
'-x+1/2,-y+1/2,z+1/2'
'-x+1/2,y+1/2,z'
'x+1/2,-y+1/2,z+1/2'
loop_
_atom_site_label
_atom_site_type_symbol
_atom_site_fract_x
_atom_site_fract_y
_atom_site_fract_z
Sm1 Sm 0.0000 0.1848 0.0000
Dy1 Dy 0.0000 0.0101 0.0044
Dy2 Dy 0.0000 0.2653 0.6847
Dy3 Dy 0.0000 0.3070 0.2999
Dy4 Dy 0.0000 0.3919 0.9720
Dy5 Dy 0.0000 0.4685 0.2703
Ho1 Ho 0.0000 0.4025 0.5991
Sc1 Sc 0.0000 0.1132 0.6932
Sc2 Sc 0.0000 0.1365 0.3181
```

Calculated values
V = 1115.89 Å³ per cell
formation energy = 168 meV/atom
crystal system = orthorhombic

***

8.
A plane-wave DFT calculation with PBE was carried out for crystalline Sm2Dy3Ho6Sc at its relaxed geometry.

Geometry as CIF:
```
data_Sm2Dy3Ho6Sc
_space_group_name_H-M_alt 'C 1 2/m 1'
_space_group_IT_number 12
_cell_length_a 6.1018
_cell_length_b 10.5622
_cell_length_c 11.6926
_cell_angle_alpha 90.00
_cell_angle_beta 99.97
_cell_angle_gamma 90.00
loop_
_space_group_symop_operation_xyz
'x,y,z'
'-x,-y,-z'
'-x,y,-z'
'x,-y,z'
'x+1/2,y+1/2,z'
'-x+1/2,-y+1/2,-z'
'-x+1/2,y+1/2,-z'
'x+1/2,-y+1/2,z'
loop_
_atom_site_label
_atom_site_type_symbol
_atom_site_fract_x
_atom_site_fract_y
_atom_site_fract_z
Sm1 Sm 0.0000 0.1664 0.0000
Dy1 Dy 0.0000 0.0000 0.5000
Dy2 Dy 0.0000 0.3336 0.5000
Ho1 Ho 0.2481 0.3348 0.2493
Ho2 Ho 0.2476 0.5000 0.7503
Sc1 Sc 0.0000 0.5000 0.0000
```

Calculated values
V = 742.19 Å³ per cell
formation energy = 26 meV/atom
crystal system = monoclinic